Compound: Hf2TcTe
Source: the Alexandria database
Functional: GGA-PBE
Structure: relaxed

Its formation energy (no corrections) is 0.557 eV per atom. For the total magnetic moment, the calculation gives 0.00 μB per cell. The value obtained for the density of states at the Fermi level is 0.887 states/eV/atom. The total DFT energy (no corrections) comes out at -7.7971 eV per atom.

It has space group I-42d (No. 122), with a = 6.0530 Å, b = 6.0530 Å, c = 12.9799 Å, α = 90.00°, β = 90.00° and γ = 90.00°. The inequivalent atoms are Hf at (0.1845, 0.2500, 0.1250), Tc at (0.0000, 0.0000, 0.0000) and Te at (0.0000, 0.0000, 0.5000).